Entry 1:
The following is a DFT calculation (GGA-PBE) of CsMn2Ga2 after structural relaxation.

Calculated values
Energy of formation from the pure elements in eV per atom: 0.3869
DOS at the Fermi energy in states/eV/cell: 4.41
Energy in eV/atom: -4.66

abc: 3.2642 3.2642 10.2740
angles: 80.86 80.86 90.00
Element x y z (fractional)
Ga 0.3524 0.3524 0.2951
Mn 0.7500 0.2500 0.5000
Ga 0.6476 0.6476 0.7049
Cs 0.0000 0.0000 0.0000
Mn 0.2500 0.7500 0.5000

---

Entry 2:
The following is a DFT calculation (GGA-PBE) of CsMn2Ga2 after structural relaxation.

Calculated values
Energy of formation from the pure elements in eV per atom: 0.7103
DOS at the Fermi energy in states/eV/cell: 7.19
Energy in eV/atom: -4.34

abc: 8.7779 8.7779 2.9518
angles: 90.00 90.00 90.00
Each line ends with the local moment (μB).
Element x y z (fractional)
Mn 0.0784 0.5784 0.5000  0.20
Ga 0.1531 0.3469 0.0000  -0.01
Ga 0.6531 0.1531 0.0000  -0.02
Mn 0.9216 0.4216 0.5000  0.20
Cs 0.0000 0.0000 0.0000  0.00
Cs 0.5000 0.5000 0.0000  0.00
Ga 0.3469 0.8469 0.0000  -0.02
Mn 0.5784 0.9216 0.5000  0.21
Ga 0.8469 0.6531 0.0000  -0.01
Mn 0.4216 0.0784 0.5000  0.21

---

Entry 3:
The following is a DFT calculation (GGA-PBE) of CsMn3Ga after structural relaxation.

Calculated values
Energy of formation from the pure elements in eV per atom: 2.2846
DOS at the Fermi energy in states/eV/cell: 5.50
Energy in eV/atom: -3.99

abc: 5.0856 5.0856 5.0856
angles: 90.00 90.00 90.00
Each line ends with the local moment (μB).
Element x y z (fractional)
Cs 0.0000 0.0000 0.0000  -0.08
Ga 0.5000 0.5000 0.5000  -0.04
Mn 0.0000 0.0000 0.5000  3.25
Mn 0.0000 0.5000 0.0000  3.59
Mn 0.5000 0.0000 0.0000  3.85

---

Entry 4:
The following is a DFT calculation (GGA-PBE) of CsMn3Ga after structural relaxation.

Calculated values
Energy of formation from the pure elements in eV per atom: 0.9455
DOS at the Fermi energy in states/eV/cell: 4.87
Energy in eV/atom: -5.33

abc: 5.0935 5.0935 5.0935
angles: 90.00 90.00 90.00
Each line ends with the local moment (μB).
Element x y z (fractional)
Ga 0.0000 0.0000 0.0000  -0.08
Cs 0.5000 0.5000 0.5000  0.03
Mn 0.5000 0.0000 0.0000  4.02
Mn 0.0000 0.0000 0.5000  4.02
Mn 0.0000 0.5000 0.0000  4.02

---

Entry 5:
The following is a DFT calculation (GGA-PBE) of Cs2MnGaS4 after structural relaxation.

Calculated values
DOS at the Fermi energy in states/eV/cell: 5.85
Energy in eV/atom: -4.75
E_form (uncorrected) in meV/atom: -950

abc: 5.9727 7.8519 12.4655
angles: 84.77 76.14 67.65
Each line ends with the local moment (μB).
Element x y z (fractional)
S 0.2006 0.1877 0.9096  0.01
Cs 0.1765 0.0000 0.6469  0.00
Mn 0.7500 0.5000 0.5000  3.48
S 0.8602 0.6877 0.5904  0.01
S 0.6117 0.1877 0.0904  0.01
S 0.5494 0.3123 0.5904  0.01
S 0.1383 0.3123 0.4096  0.01
Ga 0.5000 0.0000 0.0000  0.03
Cs 0.8235 0.0000 0.3531  0.00
S 0.2979 0.8123 0.0904  0.01
Ga 0.2500 0.5000 0.5000  0.03
S 0.4521 0.6877 0.4096  0.01
Mn 0.0000 0.0000 0.0000  3.48
Cs 0.5735 0.5000 0.8531  0.00
S 0.8898 0.8123 0.9096  0.01
Cs 0.9265 0.5000 0.1469  0.00

---

Entry 6:
The following is a DFT calculation (GGA-PBE) of Cs2MnGaSe4 after structural relaxation.

Calculated values
DOS at the Fermi energy in states/eV/cell: 7.11
Energy in eV/atom: -4.36
E_form (uncorrected) in meV/atom: -879

abc: 6.2266 8.0721 12.8260
angles: 84.63 75.95 67.31
Each line ends with the local moment (μB).
Element x y z (fractional)
Se 0.6048 0.1905 0.0990  -0.01
Se 0.5453 0.3095 0.5990  -0.01
Se 0.2962 0.8095 0.0990  -0.01
Mn 0.7500 0.5000 0.5000  3.61
Se 0.4538 0.6905 0.4010  -0.01
Ga 0.2500 0.5000 0.5000  0.03
Mn 0.0000 0.0000 0.0000  3.61
Cs 0.5719 0.5000 0.8561  0.00
Cs 0.1781 0.0000 0.6439  0.00
Se 0.2047 0.1905 0.9010  -0.01
Cs 0.8219 0.0000 0.3561  0.00
Se 0.8943 0.8095 0.9010  -0.01
Ga 0.5000 0.0000 0.0000  0.03
Se 0.1452 0.3095 0.4010  -0.01
Cs 0.9281 0.5000 0.1439  0.00
Se 0.8557 0.6905 0.5990  -0.01

---

Entry 7:
The following is a DFT calculation (GGA-PBE) of CsMnGaTe3 after structural relaxation.

Calculated values
DOS at the Fermi energy in states/eV/cell: 5.46
Energy in eV/atom: -4.18
E_form (uncorrected) in meV/atom: -436

abc: 4.0171 9.8102 11.3925
angles: 113.86 90.00 90.00
Each line ends with the local moment (μB).
Element x y z (fractional)
Cs 0.7500 0.7674 0.7235  0.00
Ga 0.2500 0.1049 0.5611  0.00
Te 0.7500 0.8535 0.1849  -0.05
Te 0.2500 0.5646 0.9008  -0.16
Te 0.7500 0.4354 0.0992  -0.16
Cs 0.2500 0.2326 0.2765  0.00
Mn 0.2500 0.6475 0.1589  3.46
Te 0.7500 0.3272 0.5950  -0.02
Te 0.2500 0.6728 0.4050  -0.02
Te 0.2500 0.1465 0.8151  -0.05
Ga 0.7500 0.8951 0.4389  0.00
Mn 0.7500 0.3525 0.8411  3.46

---

Entry 8:
The following is a DFT calculation (GGA-PBE) of CsYMn2Ga after structural relaxation.

Calculated values
Energy of formation from the pure elements in eV per atom: 1.8795
DOS at the Fermi energy in states/eV/cell: 4.81
Energy in eV/atom: -3.86

abc: 4.9539 5.6860 4.9539
angles: 90.00 90.00 90.00
Each line ends with the local moment (μB).
Element x y z (fractional)
Cs 0.0000 0.0000 0.0000  -0.11
Mn 0.5000 0.0000 0.0000  3.59
Y 0.0000 0.5000 0.0000  -0.27
Mn 0.0000 0.0000 0.5000  3.11
Ga 0.5000 0.5000 0.5000  -0.02

---

Entry 9:
The following is a DFT calculation (GGA-PBE) of CsGaMo3 after structural relaxation.

Calculated values
Energy of formation from the pure elements in eV per atom: 3.1838
DOS at the Fermi energy in states/eV/cell: 6.36
Energy in eV/atom: -4.09

abc: 4.9353 4.9353 4.9353
angles: 90.00 90.00 90.00
Each line ends with the local moment (μB).
Element x y z (fractional)
Ga 0.5000 0.5000 0.5000  -0.01
Mo 0.5000 0.0000 0.0000  0.71
Mo 0.0000 0.0000 0.5000  0.69
Cs 0.0000 0.0000 0.0000  -0.03
Mo 0.0000 0.5000 0.0000  0.57

---

Entry 10:
The following is a DFT calculation (GGA-PBE) of CsGaMo3 after structural relaxation.

Calculated values
Energy of formation from the pure elements in eV per atom: 2.0686
DOS at the Fermi energy in states/eV/cell: 7.94
Energy in eV/atom: -5.21

abc: 4.9931 4.9931 4.9931
angles: 90.00 90.00 90.00
Each line ends with the local moment (μB).
Element x y z (fractional)
Mo 0.0000 0.0000 0.5000  2.06
Mo 0.0000 0.5000 0.0000  2.05
Ga 0.0000 0.0000 0.0000  0.03
Cs 0.5000 0.5000 0.5000  0.15
Mo 0.5000 0.0000 0.0000  1.73